The following is a DFT calculation (PBE) of a geometry-optimized YTmTe3Pb structure.

energy relative to the lowest polymorph listed for this composition: 0.000 eV per atom
magnetization: 0.01 μB/f.u.

abc: 4.407 15.276 11.776
angles: 90.00 90.00 90.00
Space group Cmcm (No. 63)
Asymmetric unit:
Y  0.000  0.000  0.000 (multiplicity 4)
Tm  0.000  0.469  0.250 (multiplicity 4)
Te  0.000  0.097  0.250 (multiplicity 4)
Te  0.000  0.359  0.041 (multiplicity 8)
Pb  0.000  0.201  0.750 (multiplicity 4)